Entry 1:
CsTmVO4: optimized geometry, PBE with a Hubbard U.

a = 5.9029 Å, b = 5.9520 Å, c = 8.0777 Å
α = 90.00°, β = 108.92°, γ = 90.00°
Last column: nearest neighbours and their distance in Å.
Sites, in units of the cell vectors:
Cs: 0.7179 0.7500 0.9430  2 O 2.87-3.07
Cs: 0.2821 0.2500 0.0570  2 O 2.87-3.07
Tm: 0.8238 0.7500 0.4636  6 O 2.21-2.37
Tm: 0.1762 0.2500 0.5364  6 O 2.21-2.37
V: 0.2866 0.7500 0.3613  4 O 1.74-1.91
V: 0.7134 0.2500 0.6387  4 O 1.74-1.91
O: 0.9511 0.4726 0.6533  1 V 1.91
O: 0.0489 0.9726 0.3467  1 V 1.91
O: 0.0489 0.5274 0.3467  1 V 1.91
O: 0.9511 0.0274 0.6533  1 V 1.91
O: 0.4669 0.7500 0.2213  1 V 1.79
O: 0.5331 0.2500 0.7787  1 V 1.79
O: 0.4957 0.7500 0.5700  1 V 1.74
O: 0.5043 0.2500 0.4300  1 V 1.74

Size of the total moment in μB per formula unit: 1.0
Calculated total energy in eV per cell: -99.77
Density of states at the Fermi level in states/eV per atom: 0.00

Entry 2:
Cs2RbNi3F12: optimized geometry, PBE with a Hubbard U.

a = 7.5283 Å, b = 7.5283 Å, c = 7.5283 Å
α = 58.92°, β = 58.92°, γ = 58.92°
Last column: nearest neighbours and their distance in Å.
Sites, in units of the cell vectors:
Cs: 0.6113 0.6113 0.6113  6 F 2.98-3.16
Cs: 0.3886 0.3886 0.3886  6 F 2.98-3.16
Rb: 0.0000 0.0000 0.0000  6 F 2.80
Ni: 0.5000 0.0000 0.0000  6 F 1.80-1.97
Ni: 0.0000 0.5000 0.0000  6 F 1.80-1.97
Ni: 0.0000 0.0000 0.5000  6 F 1.80-1.97
F: 0.2792 0.2792 0.8921  2 Ni 1.97
F: 0.8798 0.8798 0.4553  1 Ni 1.80
F: 0.4553 0.8798 0.8798  1 Ni 1.80
F: 0.8921 0.2792 0.2792  2 Ni 1.97
F: 0.8798 0.4553 0.8798  1 Ni 1.80
F: 0.2792 0.8921 0.2792  2 Ni 1.97
F: 0.7208 0.7208 0.1079  2 Ni 1.97
F: 0.1202 0.1202 0.5447  1 Ni 1.80
F: 0.5447 0.1202 0.1202  1 Ni 1.80
F: 0.1079 0.7208 0.7208  2 Ni 1.97
F: 0.1202 0.5447 0.1202  1 Ni 1.80
F: 0.7208 0.1079 0.7208  2 Ni 1.97

Size of the total moment in μB per formula unit: 3.0
Calculated total energy in eV per cell: -71.40